The following is a GGA-PBE calculation of crystalline Co3TcAs at its relaxed geometry, from the Alexandria database.

Summary:
ΔE to the lowest computed polymorph   0.000 eV per atom
Energy of formation   952 meV per atom
Raw total energy   -6.31 eV/atom
Size of the total moment   7.22 μB per formula unit
N(E_F)   0.45 states/eV/atom
Space group   Pm-3m

Cell lengths 4.283, 4.283, 4.283 Å; angles 90.00, 90.00, 90.00 degrees
Last column: magnetic moment on the atom in μB.
Positions (direct):
As: 0.000 0.000 0.000  -0.01
Co: 0.000 0.500 0.000  1.26
Co: 0.000 0.000 0.500  1.34
Co: 0.500 0.000 0.000  1.51
Tc: 0.500 0.500 0.500  2.91

The following is a GGA-PBE calculation of crystalline Co3TcAs at its relaxed geometry, from the Alexandria database.

Summary:
ΔE to the lowest computed polymorph   0.481 eV per atom
Energy of formation   1433 meV per atom
Raw total energy   -5.83 eV/atom
Size of the total moment   0.34 μB per formula unit
N(E_F)   1.44 states/eV/atom
Space group   Pm-3m

Cell lengths 4.396, 4.396, 4.396 Å; angles 90.00, 90.00, 90.00 degrees
Last column: magnetic moment on the atom in μB.
Positions (direct):
As: 0.500 0.500 0.500  0.00
Co: 0.000 0.500 0.000  0.12
Co: 0.000 0.000 0.500  0.13
Co: 0.500 0.000 0.000  0.10
Tc: 0.000 0.000 0.000  0.01

The following is a GGA-PBE calculation of crystalline CoTcAs at its relaxed geometry, from the Alexandria database.

Summary:
ΔE to the lowest computed polymorph   0.000 eV per atom
Energy of formation   73 meV per atom
Raw total energy   -7.30 eV/atom
Size of the total moment   1.77 μB per formula unit
N(E_F)   0.92 states/eV/atom
Space group   P3m1

Cell lengths 4.035, 4.035, 2.841 Å; angles 90.00, 90.00, 120.00 degrees
Last column: magnetic moment on the atom in μB.
Positions (direct):
As: 0.000 0.000 0.164  -0.02
Co: 0.667 0.333 0.169  0.99
Tc: 0.333 0.667 0.668  0.75

The following is a GGA-PBE calculation of crystalline CoTc2As at its relaxed geometry, from the Alexandria database.

Summary:
Energy of formation   159 meV per atom
Raw total energy   -7.96 eV/atom
Size of the total moment   0.95 μB per formula unit
N(E_F)   1.19 states/eV/atom
Space group   P2/m

Cell lengths 3.891, 2.787, 5.429 Å; angles 71.85, 90.00, 90.00 degrees
Last column: magnetic moment on the atom in μB.
Positions (direct):
As: 0.500 0.250 0.250  -0.01
Co: 0.500 0.750 0.750  0.89
Tc: 0.000 0.127 0.992  0.04
Tc: 0.000 0.373 0.508  0.04

Copy entry 3 word for word.
The following is a GGA-PBE calculation of crystalline CoTcAs at its relaxed geometry, from the Alexandria database.

Summary:
ΔE to the lowest computed polymorph   0.000 eV per atom
Energy of formation   73 meV per atom
Raw total energy   -7.30 eV/atom
Size of the total moment   1.77 μB per formula unit
N(E_F)   0.92 states/eV/atom
Space group   P3m1

Cell lengths 4.035, 4.035, 2.841 Å; angles 90.00, 90.00, 120.00 degrees
Last column: magnetic moment on the atom in μB.
Positions (direct):
As: 0.000 0.000 0.164  -0.02
Co: 0.667 0.333 0.169  0.99
Tc: 0.333 0.667 0.668  0.75

> Which of these has the highest size of the total moment?

number 1

Copy entry 1 word for word.
The following is a GGA-PBE calculation of crystalline Co3TcAs at its relaxed geometry, from the Alexandria database.

Summary:
ΔE to the lowest computed polymorph   0.000 eV per atom
Energy of formation   952 meV per atom
Raw total energy   -6.31 eV/atom
Size of the total moment   7.22 μB per formula unit
N(E_F)   0.45 states/eV/atom
Space group   Pm-3m

Cell lengths 4.283, 4.283, 4.283 Å; angles 90.00, 90.00, 90.00 degrees
Last column: magnetic moment on the atom in μB.
Positions (direct):
As: 0.000 0.000 0.000  -0.01
Co: 0.000 0.500 0.000  1.26
Co: 0.000 0.000 0.500  1.34
Co: 0.500 0.000 0.000  1.51
Tc: 0.500 0.500 0.500  2.91

> Among the records above, which one has the highest N(E_F)?

number 2